(1)
# InFe2Sn PBE relaxed
data_InFe2Sn
_chemical_formula_sum 'In4 Fe8 Sn4'
_space_group_name_H-M_alt 'P m -3 m'
_space_group_IT_number 221
_space_group_name_Hall '-P 4 2 3'
_cell_length_a 6.3571
_cell_length_b 6.3571
_cell_length_c 6.3571
_cell_angle_alpha 90.00
_cell_angle_beta 90.00
_cell_angle_gamma 90.00
loop_
_atom_site_label
_atom_site_type_symbol
_atom_site_fract_x
_atom_site_fract_y
_atom_site_fract_z
In1 In 0.0000 0.0000 0.0000
In2 In 0.0000 0.0000 0.5000
Fe1 Fe 0.2567 0.2567 0.2567
Sn1 Sn 0.0000 0.5000 0.5000
Sn2 Sn 0.5000 0.5000 0.5000
# **M_tot**: 0.921 μB per atom
# **Uncorrected energy**: -0.406 Ry per atom



(2)
# InFe2Sn PBE relaxed
data_InFe2Sn
_chemical_formula_sum 'In4 Fe8 Sn4'
_space_group_name_H-M_alt 'P m -3 m'
_space_group_IT_number 221
_space_group_name_Hall '-P 4 2 3'
_cell_length_a 6.3537
_cell_length_b 6.3537
_cell_length_c 6.3537
_cell_angle_alpha 90.00
_cell_angle_beta 90.00
_cell_angle_gamma 90.00
loop_
_atom_site_label
_atom_site_type_symbol
_atom_site_fract_x
_atom_site_fract_y
_atom_site_fract_z
In1 In 0.0000 0.0000 0.0000
In2 In 0.0000 0.0000 0.5000
Fe1 Fe 0.2559 0.2559 0.2559
Sn1 Sn 0.0000 0.5000 0.5000
Sn2 Sn 0.5000 0.5000 0.5000
# **M_tot**: 0.919 μB per atom
# **Uncorrected energy**: -0.405 Ry per atom



(3)
# Tm4InFe2Sn4 PBE relaxed
data_Tm4InFe2Sn4
_chemical_formula_sum 'Tm8 In2 Fe4 Sn8'
_space_group_name_H-M_alt 'C 1 2/m 1'
_space_group_IT_number 12
_cell_length_a 15.8224
_cell_length_b 4.4293
_cell_length_c 7.6372
_cell_angle_alpha 90.00
_cell_angle_beta 108.11
_cell_angle_gamma 90.00
loop_
_space_group_symop_operation_xyz
'x,y,z'
'-x,-y,-z'
'-x,y,-z'
'x,-y,z'
'x+1/2,y+1/2,z'
'-x+1/2,-y+1/2,-z'
'-x+1/2,y+1/2,-z'
'x+1/2,-y+1/2,z'
loop_
_atom_site_label
_atom_site_type_symbol
_atom_site_fract_x
_atom_site_fract_y
_atom_site_fract_z
Tm1 Tm 0.0846 0.0000 0.3741
Tm2 Tm 0.1499 0.0000 0.9486
In1 In 0.0000 0.5000 0.0000
Fe1 Fe 0.2336 0.5000 0.5879
Sn1 Sn 0.0778 0.5000 0.6633
Sn2 Sn 0.1997 0.5000 0.2349
# **M_tot**: 0.390 μB per atom
# **Uncorrected energy**: -0.389 Ry per atom



(4)
# TaInFeW PBE relaxed
data_TaInFeW
_chemical_formula_sum 'Ta4 In4 Fe4 W4'
_space_group_name_H-M_alt 'F -4 3 m'
_space_group_IT_number 216
_space_group_name_Hall 'F -4 2 3'
_cell_length_a 6.3907
_cell_length_b 6.3907
_cell_length_c 6.3907
_cell_angle_alpha 90.00
_cell_angle_beta 90.00
_cell_angle_gamma 90.00
loop_
_atom_site_label
_atom_site_type_symbol
_atom_site_fract_x
_atom_site_fract_y
_atom_site_fract_z
Ta1 Ta 0.0000 0.0000 0.0000
In1 In 0.0000 0.0000 0.5000
Fe1 Fe 0.2500 0.2500 0.7500
W1 W 0.2500 0.2500 0.2500
# **M_tot**: 0.491 μB per atom
# **E above lowest polymorph**: 0.00 kcal/mol of atoms



(5)
# TaZnInFe PBE relaxed
data_TaZnInFe
_chemical_formula_sum 'Ta4 Zn4 In4 Fe4'
_space_group_name_H-M_alt 'F -4 3 m'
_space_group_IT_number 216
_space_group_name_Hall 'F -4 2 3'
_cell_length_a 6.4028
_cell_length_b 6.4028
_cell_length_c 6.4028
_cell_angle_alpha 90.00
_cell_angle_beta 90.00
_cell_angle_gamma 90.00
loop_
_atom_site_label
_atom_site_type_symbol
_atom_site_fract_x
_atom_site_fract_y
_atom_site_fract_z
Ta1 Ta 0.0000 0.0000 0.0000
Zn1 Zn 0.2500 0.2500 0.7500
In1 In 0.2500 0.2500 0.2500
Fe1 Fe 0.0000 0.0000 0.5000
# **M_tot**: 0.498 μB per atom
# **E above lowest polymorph**: 6.40 kcal/mol of atoms



(6)
# TaZnInFe PBE relaxed
data_TaZnInFe
_chemical_formula_sum 'Ta4 Zn4 In4 Fe4'
_space_group_name_H-M_alt 'F -4 3 m'
_space_group_IT_number 216
_space_group_name_Hall 'F -4 2 3'
_cell_length_a 6.2663
_cell_length_b 6.2663
_cell_length_c 6.2663
_cell_angle_alpha 90.00
_cell_angle_beta 90.00
_cell_angle_gamma 90.00
loop_
_atom_site_label
_atom_site_type_symbol
_atom_site_fract_x
_atom_site_fract_y
_atom_site_fract_z
Ta1 Ta 0.0000 0.0000 0.0000
Zn1 Zn 0.2500 0.2500 0.2500
In1 In 0.0000 0.0000 0.5000
Fe1 Fe 0.2500 0.2500 0.7500
# **M_tot**: 0.003 μB per atom
# **E above lowest polymorph**: 0.00 kcal/mol of atoms